1.
This record from the Alexandria database describes a relaxed structure of HgOs2C2. The functional is PBE. Values from VASP.

Geometry as Quantum ESPRESSO input:
```
&SYSTEM
  ibrav = 0, nat = 5, ntyp = 3
/
ATOMIC_SPECIES
Hg 200.59 Hg.upf
Os 190.23 Os.upf
C 12.01 C.upf
CELL_PARAMETERS angstrom
-1.928 1.928 8.098
1.928 -1.928 8.098
1.928 1.928 -8.098
ATOMIC_POSITIONS angstrom
Hg 0.000 0.000 0.000
Os 1.928 0.000 4.049
Os 0.000 1.928 4.049
C 0.000 0.000 4.691
C 0.000 0.000 11.505
```

Summary:
Energy above the lowest structure with this stoichiometry (meV/atom): 0.0
Calculated formation energy (eV/atom): 0.932
Energy (eV per atom): -7.310
Density of states at the Fermi level (states/eV/f.u.): 1.48


2.
This record from the Alexandria database describes a relaxed structure of Hg4OsC2. The functional is PBE. Values from VASP.

Geometry as Quantum ESPRESSO input:
```
&SYSTEM
  ibrav = 0, nat = 7, ntyp = 3
/
ATOMIC_SPECIES
Hg 200.59 Hg.upf
Os 190.23 Os.upf
C 12.01 C.upf
CELL_PARAMETERS angstrom
-2.770 2.770 5.487
2.770 -2.770 5.487
2.770 2.770 -5.487
ATOMIC_POSITIONS angstrom
Hg 2.770 0.000 0.000
Hg 0.000 0.000 2.639
Hg 0.000 2.770 0.000
Hg 0.000 0.000 8.335
Os 0.000 0.000 0.000
C 0.000 0.000 4.850
C 0.000 0.000 6.124
```

Summary:
Calculated formation energy (eV/atom): 1.213
Energy (eV per atom): -3.199
Density of states at the Fermi level (states/eV/f.u.): 5.06


3.
This record from the Alexandria database describes a relaxed structure of HgOsC3. The functional is PBE. Values from VASP.

Geometry as Quantum ESPRESSO input:
```
&SYSTEM
  ibrav = 0, nat = 5, ntyp = 3
/
ATOMIC_SPECIES
Hg 200.59 Hg.upf
Os 190.23 Os.upf
C 12.01 C.upf
CELL_PARAMETERS angstrom
4.128 0.000 0.000
0.000 4.128 0.000
0.000 0.000 4.128
ATOMIC_POSITIONS angstrom
Hg 0.000 0.000 0.000
Os 2.064 2.064 2.064
C 0.000 0.000 2.064
C 0.000 2.064 0.000
C 2.064 0.000 0.000
```

Summary:
Energy above the lowest structure with this stoichiometry (meV/atom): 2076.3
Calculated formation energy (eV/atom): 4.053
Energy (eV per atom): -3.787
Density of states at the Fermi level (states/eV/f.u.): 3.93


4.
This record from the Alexandria database describes a relaxed structure of Hg3OsC. The functional is PBE. Values from VASP.

Geometry as Quantum ESPRESSO input:
```
&SYSTEM
  ibrav = 0, nat = 5, ntyp = 3
/
ATOMIC_SPECIES
Hg 200.59 Hg.upf
Os 190.23 Os.upf
C 12.01 C.upf
CELL_PARAMETERS angstrom
4.555 0.000 0.000
0.000 4.555 0.000
0.000 0.000 4.555
ATOMIC_POSITIONS angstrom
Hg 0.000 0.000 2.278
Hg 0.000 2.278 0.000
Hg 2.278 0.000 0.000
Os 2.278 2.278 2.278
C 0.000 0.000 0.000
```

Summary:
Energy above the lowest structure with this stoichiometry (meV/atom): 0.0
Calculated formation energy (eV/atom): 1.853
Energy (eV per atom): -2.419
Density of states at the Fermi level (states/eV/f.u.): 4.93